The following is a DFT calculation (GGA-PBE) of an optimized crystal structure of NdHoEr2.

Geometry as extended XYZ:
```
16
Lattice="6.277 0.000 0.000 0.000 7.251 0.000 -0.011 0.000 11.318" Properties=species:S:1:pos:R:3 pbc="T T T"
Nd 1.045 1.814 4.272
Nd 1.039 5.437 9.930
Nd 5.227 1.814 1.387
Nd 5.221 5.437 7.046
Ho 2.094 0.004 7.078
Ho 2.100 7.247 1.419
Ho 4.167 0.004 9.899
Ho 4.172 7.247 4.240
Er 1.047 1.816 9.883
Er 1.052 5.434 4.224
Er 2.094 3.621 7.077
Er 2.099 3.630 1.418
Er 4.167 3.621 9.899
Er 4.172 3.630 4.240
Er 5.214 1.816 7.093
Er 5.219 5.434 1.434
```

As for the spin magnetization: 0.000 μB/cell.

=====

The following is a DFT calculation (GGA-PBE) of an optimized crystal structure of Nd3Ho6Er.

Geometry as extended XYZ:
```
20
Lattice="5.474 -9.434 0.000 5.474 9.434 0.000 0.000 0.000 6.329" Properties=species:S:1:pos:R:3 pbc="T T T"
Nd 5.474 7.326 3.165
Nd 3.557 2.130 0.673
Nd 3.557 -2.130 3.837
Nd 7.391 2.130 0.673
Nd 7.391 -2.130 3.837
Nd 5.474 -7.326 0.000
Ho 2.632 3.961 4.428
Ho 1.827 0.868 3.305
Ho 1.827 -0.868 0.140
Ho 5.474 5.141 5.835
Ho 2.632 -3.961 1.263
Ho 5.474 0.757 4.384
Ho 5.474 -0.757 1.220
Ho 8.315 3.961 4.428
Ho 5.474 -5.141 2.670
Ho 9.121 0.868 3.305
Ho 9.121 -0.868 0.140
Ho 8.315 -3.961 1.263
Er 5.474 3.709 2.772
Er 5.474 -3.709 5.936
```

As for the spin magnetization: 0.001 μB/cell.

=====

The following is a DFT calculation (GGA-PBE) of an optimized crystal structure of NdHo2Er2.

Geometry as extended XYZ:
```
10
Lattice="0.000 5.803 11.285 2.752 0.000 11.285 2.752 5.803 0.000" Properties=species:S:1:pos:R:3 pbc="T T T"
Nd 0.688 1.451 2.821
Nd 4.815 10.156 19.748
Ho 2.064 2.378 8.463
Ho 3.440 5.279 14.106
Ho 2.064 6.327 8.463
Ho 3.440 9.229 14.106
Er 0.000 0.000 0.000
Er 1.376 2.902 0.000
Er 1.376 0.000 5.642
Er 0.000 2.902 5.642
```

As for the spin magnetization: 0.004 μB/cell.

=====

The following is a DFT calculation (GGA-PBE) of an optimized crystal structure of Nd7Ho4Er.

Geometry as extended XYZ:
```
12
Lattice="6.318 0.000 0.000 0.002 7.281 0.000 2.099 0.005 8.734" Properties=species:S:1:pos:R:3 pbc="T T T"
Nd 0.000 0.000 0.000
Nd 2.102 3.642 2.923
Nd 3.166 5.471 5.817
Nd 5.248 1.810 8.721
Nd 3.171 5.476 0.014
Nd 5.253 1.814 2.917
Nd 6.317 3.643 5.811
Ho 2.098 7.280 2.932
Ho 3.156 1.805 5.831
Ho 5.264 5.480 2.903
Ho 6.321 0.005 5.803
Er 0.001 3.640 0.000
```

As for the spin magnetization: 0.000 μB/cell.

=====

no.,formation energy from the elements (eV per atom),relative energy among the computed polymorphs (meV per atom)
1,0.0109,9
2,0.1502,0
3,0.5148,431
4,0.0059,0